First-principles (PBE) data for crystalline KB3C3 at its relaxed geometry, as listed in Alexandria via LeMat-Bulk.

Computed properties:
- Size of the total moment: 0.000 μB per cell
- Formation energy from the elements: 3.65 eV per formula unit

a = 4.8533 Å, b = 4.8533 Å, c = 4.8533 Å
α = 90.00°, β = 90.00°, γ = 90.00°
With the nearest neighbours (Å) after each atom.
Space group Pm-3n (No. 223)
Asymmetric unit:
K 0.0000 0.0000 0.0000 x2  12 B 2.71, 12 C 2.71
B 0.0000 0.2500 0.5000 x6  4 C 1.72
C 0.0000 0.5000 0.2500 x6  4 B 1.72